# 1
An optimized crystal structure of PmScCu2. Source: Alexandria, functional PBE-GGA.

ΔE_f = -0.76 eV/f.u.
distance to the lowest polymorph of the same formula = 0.08 eV/f.u.
ρ = 6.35 g/cm³
calculated volume = 83 Å³ per cell

Cell lengths 4.615, 4.615, 5.227 Å; angles 63.80, 63.80, 60.00 degrees
Fractional positions:
Pm1 0.000 0.000 0.000
Sc1 0.500 0.500 0.500
Cu1 0.786 0.786 0.641
Cu2 0.214 0.214 0.359

---

# 2
An optimized crystal structure of LaPmRu. Source: Alexandria, functional PBE-GGA.

ΔE_f = -0.52 eV/f.u.
distance to the lowest polymorph of the same formula = 0.19 eV/f.u.
ρ = 6.78 g/cm³
calculated volume = 94 Å³ per cell

Cell lengths 6.347, 4.141, 4.141 Å; angles 120.00, 90.00, 90.00 degrees
Fractional positions:
La1 0.769 0.667 0.333
Pm1 0.235 0.333 0.667
Ru1 0.996 0.000 0.000

---

# 3
An optimized crystal structure of La3PmNd2As6. Source: Alexandria, functional PBE-GGA.

ΔE_f = -18.53 eV/f.u.
ρ = 6.31 g/cm³
calculated volume = 342 Å³ per cell

Cell lengths 4.321, 8.638, 9.656 Å; angles 102.95, 102.93, 90.00 degrees
Fractional positions:
As1 0.001 0.246 0.002
As2 0.335 0.915 0.670
As3 0.999 0.754 0.998
As4 0.332 0.419 0.665
As5 0.668 0.581 0.335
As6 0.665 0.085 0.330
Nd1 0.834 0.667 0.667
Nd2 0.166 0.333 0.333
La1 0.500 0.500 0.000
La2 0.833 0.167 0.667
La3 0.167 0.833 0.333
Pm1 0.500 0.000 0.000

---

# 4
An optimized crystal structure of TlSiAs. Source: Alexandria, functional PBE-GGA.

distance to the lowest polymorph of the same formula = 1.13 eV/f.u.
ρ = 6.81 g/cm³
calculated volume = 75 Å³ per cell

Cell lengths 4.733, 4.733, 4.733 Å; angles 60.00, 60.00, 60.00 degrees
Fractional positions:
As1 0.500 0.500 0.500
Si1 0.750 0.750 0.750
Tl1 0.000 0.000 0.000

---

# 5
An optimized crystal structure of TcNiTe2. Source: Alexandria, functional PBE-GGA.

distance to the lowest polymorph of the same formula = 1.35 eV/f.u.
ρ = 7.78 g/cm³
calculated volume = 88 Å³ per cell

Cell lengths 8.685, 8.685, 8.685 Å; angles 23.01, 23.01, 23.01 degrees
Site moments in Bohr magnetons follow the coordinates.
Fractional positions:
Tc1 0.500 0.500 0.500  0.41
Ni1 0.000 0.000 0.000  0.32
Te1 0.095 0.095 0.095  0.00
Te2 0.905 0.905 0.905  0.00